A.
! Ba3SrS (PBE, relaxed); values from VASP
! **Fermi-level density of states**: 1.348 states/eV/atom
&SYSTEM
  ibrav = 0, nat = 5, ntyp = 3
/
ATOMIC_SPECIES
Ba 137.33 Ba.upf
Sr 87.62 Sr.upf
S 32.06 S.upf
CELL_PARAMETERS angstrom
6.376 0.000 0.000
0.000 6.376 0.000
0.000 0.000 6.376
ATOMIC_POSITIONS crystal
Ba 0.000 0.000 0.500
Ba 0.000 0.500 0.000
Ba 0.500 0.000 0.000
Sr 0.500 0.500 0.500
S 0.000 0.000 0.000

***

B.
! Ba3SrS (PBE, relaxed); values from VASP
! **Fermi-level density of states**: 1.337 states/eV/atom
&SYSTEM
  ibrav = 0, nat = 5, ntyp = 3
/
ATOMIC_SPECIES
Ba 137.33 Ba.upf
Sr 87.62 Sr.upf
S 32.06 S.upf
CELL_PARAMETERS angstrom
6.503 0.000 0.000
0.000 6.503 0.000
0.000 0.000 6.503
ATOMIC_POSITIONS crystal
Ba 0.000 0.000 0.500
Ba 0.000 0.500 0.000
Ba 0.500 0.000 0.000
Sr 0.000 0.000 0.000
S 0.500 0.500 0.500

***

According to the calculations, the structures order from most to least stable as A, B.

***

A.
! BaTa2S2 (PBE, relaxed); values from VASP
! **Fermi-level density of states**: 1.003 states/eV/atom
&SYSTEM
  ibrav = 0, nat = 5, ntyp = 3
/
ATOMIC_SPECIES
Ba 137.33 Ba.upf
Ta 180.95 Ta.upf
S 32.06 S.upf
CELL_PARAMETERS angstrom
-2.429 2.429 4.538
2.429 -2.429 4.538
2.429 2.429 -4.538
ATOMIC_POSITIONS crystal
Ba 0.000 0.000 0.000
Ta 0.362 0.362 0.000
Ta 0.638 0.638 0.000
S 0.250 0.750 0.500
S 0.750 0.250 0.500

***

B.
! BaTa2S2 (PBE, relaxed); values from VASP
! **Fermi-level density of states**: 0.529 states/eV/atom
&SYSTEM
  ibrav = 0, nat = 10, ntyp = 3
/
ATOMIC_SPECIES
Ba 137.33 Ba.upf
Ta 180.95 Ta.upf
S 32.06 S.upf
CELL_PARAMETERS angstrom
8.148 0.000 0.000
0.000 8.148 0.000
0.000 0.000 3.168
ATOMIC_POSITIONS crystal
Ba 0.000 0.000 0.000
Ba 0.500 0.500 0.000
Ta 0.111 0.389 0.000
Ta 0.389 0.889 0.000
Ta 0.611 0.111 0.000
Ta 0.889 0.611 0.000
S 0.143 0.643 0.500
S 0.357 0.143 0.500
S 0.643 0.857 0.500
S 0.857 0.357 0.500

***

According to the calculations, the structures order from most to least stable as A, B.